DFT (PBE-GGA) results for a geometry-optimized Ac7PdAu4 structure.

## Properties
* SG: Cm, No. 8
* spin magnetization: 0.00 μB/cell
* energy relative to the elements: -7.523 eV/f.u.

a = 7.5710 Å, b = 7.5710 Å, c = 14.3520 Å
α = 108.27°, β = 108.27°, γ = 33.29°
Fractional positions:
Ac1 0.0000 0.0000 0.0000
Ac2 0.0710 0.0710 0.5810
Ac3 0.2890 0.2890 0.4288
Ac4 0.3736 0.3736 0.7228
Ac5 0.5203 0.5203 0.2688
Ac6 0.7094 0.7094 0.8621
Ac7 0.7560 0.7560 0.1498
Pd1 0.1411 0.1411 0.2160
Au1 0.0427 0.0427 0.7931
Au2 0.3460 0.3460 0.0270
Au3 0.7326 0.7326 0.5759
Au4 0.9172 0.9172 0.3638

***

DFT (PBE-GGA) results for a geometry-optimized SrTlPd2 structure.

## Properties
* SG: P4/mmm, No. 123
* spin magnetization: 0.00 μB/cell
* energy relative to the elements: -1.432 eV/f.u.

a = 4.8004 Å, b = 4.8004 Å, c = 3.8498 Å
α = 90.00°, β = 90.00°, γ = 90.00°
Fractional positions:
Sr1 0.0000 0.0000 0.0000
Tl1 0.5000 0.5000 0.0000
Pd1 0.0000 0.5000 0.5000
Pd2 0.5000 0.0000 0.5000

***

DFT (PBE-GGA) results for a geometry-optimized ZnCoSn4 structure.

## Properties
* SG: C2/c, No. 15
* spin magnetization: 0.72 μB/cell
* energy relative to the elements: 0.292 eV/f.u.

a = 7.6436 Å, b = 7.6436 Å, c = 5.7412 Å
α = 105.88°, β = 105.88°, γ = 111.74°
Fractional positions:
Zn1 0.1446 0.8554 0.7500
Zn2 0.8554 0.1446 0.2500
Co1 0.4954 0.5046 0.7500
Co2 0.5046 0.4954 0.2500
Sn1 0.1465 0.2795 0.8007
Sn2 0.2094 0.5429 0.4005
Sn3 0.2795 0.1465 0.3007
Sn4 0.4571 0.7906 0.0995
Sn5 0.5429 0.2094 0.9005
Sn6 0.7205 0.8535 0.6993
Sn7 0.7906 0.4571 0.5995
Sn8 0.8535 0.7205 0.1993

***

DFT (PBE-GGA) results for a geometry-optimized RbTiS2 structure.

## Properties
* SG: C2/c, No. 15
* spin magnetization: 4.00 μB/cell
* ΔE_f (raw): -1.2947 eV/atom

a = 7.5635 Å, b = 7.5635 Å, c = 15.6036 Å
α = 97.02°, β = 97.02°, γ = 90.00°
Fractional positions:
Rb1 0.1443 0.7736 0.6035
Rb2 0.2261 0.3412 0.8979
Rb3 0.2264 0.8557 0.8965
Rb4 0.3412 0.2261 0.3979
Rb5 0.6588 0.7739 0.6021
Rb6 0.7736 0.1443 0.1035
Rb7 0.7739 0.6588 0.1021
Rb8 0.8557 0.2264 0.3965
Ti1 0.1122 0.7050 0.3242
Ti2 0.2947 0.4502 0.1748
Ti3 0.2950 0.8878 0.1758
Ti4 0.4502 0.2947 0.6748
Ti5 0.5498 0.7053 0.3252
Ti6 0.7050 0.1122 0.8242
Ti7 0.7053 0.5498 0.8252
Ti8 0.8878 0.2950 0.6758
S1 0.0474 0.4252 0.2477
S2 0.0497 0.9503 0.2500
S3 0.1488 0.2760 0.5989
S4 0.2699 0.6425 0.0666
S5 0.2760 0.1488 0.0989
S6 0.3575 0.7301 0.4334
S7 0.4240 0.5760 0.7500
S8 0.4252 0.0474 0.7477
S9 0.5748 0.9526 0.2523
S10 0.5760 0.4240 0.2500
S11 0.6425 0.2699 0.5666
S12 0.7240 0.8512 0.9011
S13 0.7301 0.3575 0.9334
S14 0.8512 0.7240 0.4011
S15 0.9503 0.0497 0.7500
S16 0.9526 0.5748 0.7523

***

DFT (PBE-GGA) results for a geometry-optimized Tb2TmScTl4 structure.

## Properties
* SG: R-3m, No. 166
* spin magnetization: 0.00 μB/cell
* energy relative to the elements: -2.454 eV/f.u.

a = 9.1975 Å, b = 9.1975 Å, c = 9.1975 Å
α = 33.46°, β = 33.46°, γ = 33.46°
Fractional positions:
Tb1 0.2490 0.2490 0.2490
Tb2 0.7510 0.7510 0.7510
Tm1 0.0000 0.0000 0.0000
Sc1 0.5000 0.5000 0.5000
Tl1 0.1260 0.1260 0.1260
Tl2 0.3761 0.3761 0.3761
Tl3 0.6239 0.6239 0.6239
Tl4 0.8740 0.8740 0.8740

***

DFT (PBE-GGA) results for a geometry-optimized SiNiSCl2 structure.

## Properties
* SG: P4/mmm, No. 123
* spin magnetization: 0.00 μB/cell
* distance to the lowest polymorph of the same formula: 0 meV/atom
* ΔE_f (raw): 0.1578 eV/atom

a = 4.4743 Å, b = 4.4743 Å, c = 4.7236 Å
α = 90.00°, β = 90.00°, γ = 90.00°
Fractional positions:
Si1 0.0000 0.0000 0.0000
Ni1 0.5000 0.5000 0.5000
S1 0.5000 0.5000 0.0000
Cl1 0.0000 0.5000 0.5000
Cl2 0.5000 0.0000 0.5000

***

One value per record, in order, for uncorrected energy: -54.58; -15.87; -48.20; -178.37; -31.98; -18.24 eV for the cell shown.